The following is a PBE+U calculation of a relaxed Ca2Ag2MoO6 crystal, from Alexandria.

Calculated values
For the energy, the calculation gives -64.636 eV per cell. The symmetry is C2/m, No. 12. Its crystal system is monoclinic.

a = 5.6858 Å, b = 5.6858 Å, c = 6.2971 Å
α = 103.41°, β = 103.41°, γ = 117.26°
With the nearest neighbours (Å) after each atom.
Sites, in units of the cell vectors:
Ca 0.1626 0.8374 0.0000  6 O 2.30-2.37
Ca 0.8374 0.1626 0.0000  6 O 2.30-2.37
Ag 0.3032 0.6968 0.5000  4 O 2.44-2.55
Ag 0.6968 0.3032 0.5000  4 O 2.44-2.55
Mo 0.5000 0.5000 0.0000  6 O 1.96-1.98
O 0.1208 0.4123 0.8126  1 Mo 1.96
O 0.3233 0.3233 0.2024  1 Mo 1.98
O 0.4123 0.1208 0.8126  1 Mo 1.96
O 0.5877 0.8792 0.1874  1 Mo 1.96
O 0.6767 0.6767 0.7976  1 Mo 1.98
O 0.8792 0.5877 0.1874  1 Mo 1.96

The following is a PBE+U calculation of a relaxed CaAgMoO4 crystal, from Alexandria.

Calculated values
For the energy, the calculation gives -85.743 eV per cell. The symmetry is P2_1/m, No. 11. Its crystal system is monoclinic.

a = 6.3120 Å, b = 5.6673 Å, c = 8.2705 Å
α = 90.00°, β = 102.35°, γ = 90.00°
With the nearest neighbours (Å) after each atom.
Sites, in units of the cell vectors:
Ca 0.2086 0.2500 0.0819  6 O 2.35-2.55
Ca 0.7914 0.7500 0.9181  6 O 2.35-2.55
Ag 0.0061 0.2500 0.5467  2 O 2.87, 2 Ag 2.93
Ag 0.9939 0.7500 0.4533  2 O 2.87, 2 Ag 2.93
Mo 0.2735 0.7500 0.8462  4 O 1.78-1.83
Mo 0.7265 0.2500 0.1538  4 O 1.78-1.83
O 0.0896 0.5035 0.8539  1 Mo 1.83
O 0.0896 0.9965 0.8539  1 Mo 1.83
O 0.4556 0.7500 0.0437  1 Mo 1.78
O 0.4665 0.7500 0.7155  1 Mo 1.79
O 0.5335 0.2500 0.2845  1 Mo 1.79
O 0.5444 0.2500 0.9563  1 Mo 1.78
O 0.9104 0.0035 0.1461  1 Mo 1.83
O 0.9104 0.4965 0.1461  1 Mo 1.83

Q: What is the formula in the first record?
A: Ca2Ag2MoO6

Q: What is the formula in the first record?
A: Ca2Ag2MoO6

Q: energy of number 1 (Ca2Ag2MoO6)?
A: -64.636 eV per cell

Q: Which value of energy does entry 2 give?
A: -85.743 eV per cell